! PBE-GGA TbB4Mo, optimized geometry; values from VASP
&SYSTEM
  ibrav = 0, nat = 24, ntyp = 3
/
ATOMIC_SPECIES
B 10.81 B.upf
Mo 95.94 Mo.upf
Tb 158.93 Tb.upf
CELL_PARAMETERS angstrom
-3.701 1.375 4.566
-7.025 -8.804 -3.042
1.857 -2.234 2.178
ATOMIC_POSITIONS crystal
B 0.886 0.453 0.500
B 0.714 0.686 0.500
Mo 0.370 0.916 0.000
B 0.214 0.814 0.500
B 0.976 0.307 0.500
B 0.476 0.193 0.500
B 0.134 0.968 0.500
B 0.114 0.547 0.500
B 0.366 0.468 0.500
B 0.786 0.186 0.500
B 0.024 0.693 0.500
B 0.386 0.047 0.500
B 0.524 0.807 0.500
B 0.634 0.532 0.500
B 0.614 0.953 0.500
Tb 0.127 0.150 0.000
B 0.866 0.032 0.500
Tb 0.373 0.650 0.000
Tb 0.873 0.850 0.000
Mo 0.870 0.584 0.000
Tb 0.627 0.350 0.000
B 0.286 0.314 0.500
Mo 0.130 0.416 0.000
Mo 0.630 0.084 0.000
! Calculated total energy in eV per atom: -7.65
! Polymorph energy (0 for the lowest one) in eV per atom: 0.0000
! Total magnetization in μB/f.u.: 0.00